[1]
# CaNiS2Cl | the Alexandria database | PBE | relaxed
data_CaNiS2Cl
_chemical_formula_sum 'Ca1 Ni1 S2 Cl1'
_cell_length_a 5.3375
_cell_length_b 5.3375
_cell_length_c 5.1191
_cell_angle_alpha 90.00
_cell_angle_beta 90.00
_cell_angle_gamma 90.00
_space_group_name_H-M_alt 'P 4/m m m'
_space_group_IT_number 123
_space_group_name_Hall '-P 4 2'
loop_
_atom_site_label
_atom_site_type_symbol
_atom_site_fract_x
_atom_site_fract_y
_atom_site_fract_z
Ca1 Ca 0.0000 0.0000 0.0000
Ni1 Ni 0.5000 0.5000 0.5000
S1 S 0.0000 0.5000 0.0000
Cl1 Cl 0.0000 0.0000 0.5000
# - ΔE to the lowest computed polymorph: 1046 meV per atom
# - ΔE_f (raw): 0.233 eV/atom
# - Fermi-level density of states: 10.00 states/eV/f.u.

[2]
# CaNiS2Cl | the Alexandria database | PBE | relaxed
data_CaNiS2Cl
_chemical_formula_sum 'Ca1 Ni1 S2 Cl1'
_cell_length_a 4.5379
_cell_length_b 4.5379
_cell_length_c 4.6954
_cell_angle_alpha 90.00
_cell_angle_beta 90.00
_cell_angle_gamma 90.00
_space_group_name_H-M_alt 'P 4/m m m'
_space_group_IT_number 123
_space_group_name_Hall '-P 4 2'
loop_
_atom_site_label
_atom_site_type_symbol
_atom_site_fract_x
_atom_site_fract_y
_atom_site_fract_z
Ca1 Ca 0.0000 0.0000 0.0000
Ni1 Ni 0.5000 0.5000 0.5000
S1 S 0.0000 0.5000 0.5000
Cl1 Cl 0.5000 0.5000 0.0000
# - ΔE to the lowest computed polymorph: 0 meV per atom
# - ΔE_f (raw): -0.813 eV/atom
# - Fermi-level density of states: 2.77 states/eV/f.u.

[3]
# CaNiSCl2 | the Alexandria database | PBE | relaxed
data_CaNiSCl2
_chemical_formula_sum 'Ca1 Ni1 S1 Cl2'
_cell_length_a 4.5652
_cell_length_b 4.5652
_cell_length_c 4.7845
_cell_angle_alpha 90.00
_cell_angle_beta 90.00
_cell_angle_gamma 90.00
_space_group_name_H-M_alt 'P 4/m m m'
_space_group_IT_number 123
_space_group_name_Hall '-P 4 2'
loop_
_atom_site_label
_atom_site_type_symbol
_atom_site_fract_x
_atom_site_fract_y
_atom_site_fract_z
Ca1 Ca 0.0000 0.0000 0.0000
Ni1 Ni 0.5000 0.5000 0.5000
S1 S 0.5000 0.5000 0.0000
Cl1 Cl 0.0000 0.5000 0.5000
# - ΔE to the lowest computed polymorph: 0 meV per atom
# - ΔE_f (raw): -1.035 eV/atom
# - Fermi-level density of states: 1.61 states/eV/f.u.

[4]
# CaNiSCl2 | the Alexandria database | PBE | relaxed
data_CaNiSCl2
_chemical_formula_sum 'Ca1 Ni1 S1 Cl2'
_cell_length_a 5.1513
_cell_length_b 5.1513
_cell_length_c 5.5466
_cell_angle_alpha 90.00
_cell_angle_beta 90.00
_cell_angle_gamma 90.00
_space_group_name_H-M_alt 'P 4/m m m'
_space_group_IT_number 123
_space_group_name_Hall '-P 4 2'
loop_
_atom_site_label
_atom_site_type_symbol
_atom_site_fract_x
_atom_site_fract_y
_atom_site_fract_z
Ca1 Ca 0.0000 0.0000 0.0000
Ni1 Ni 0.5000 0.5000 0.5000
S1 S 0.0000 0.0000 0.5000
Cl1 Cl 0.0000 0.5000 0.0000
# - ΔE to the lowest computed polymorph: 753 meV per atom
# - ΔE_f (raw): -0.281 eV/atom
# - Fermi-level density of states: 4.18 states/eV/f.u.

[5]
# CaNiSbCl2 | the Alexandria database | PBE | relaxed
data_CaNiSbCl2
_chemical_formula_sum 'Ca1 Ni1 Sb1 Cl2'
_cell_length_a 4.9507
_cell_length_b 4.9507
_cell_length_c 6.2276
_cell_angle_alpha 90.00
_cell_angle_beta 90.00
_cell_angle_gamma 90.00
_space_group_name_H-M_alt 'P 4/m m m'
_space_group_IT_number 123
_space_group_name_Hall '-P 4 2'
loop_
_atom_site_label
_atom_site_type_symbol
_atom_site_fract_x
_atom_site_fract_y
_atom_site_fract_z
Ca1 Ca 0.0000 0.0000 0.0000
Ni1 Ni 0.0000 0.0000 0.5000
Sb1 Sb 0.5000 0.5000 0.5000
Cl1 Cl 0.0000 0.5000 0.0000
# - ΔE to the lowest computed polymorph: 455 meV per atom
# - ΔE_f (raw): -0.176 eV/atom
# - Fermi-level density of states: 9.71 states/eV/f.u.

[6]
# CaNiSbCl2 | the Alexandria database | PBE | relaxed
data_CaNiSbCl2
_chemical_formula_sum 'Ca1 Ni1 Sb1 Cl2'
_cell_length_a 4.6700
_cell_length_b 4.6700
_cell_length_c 5.3731
_cell_angle_alpha 90.00
_cell_angle_beta 90.00
_cell_angle_gamma 90.00
_space_group_name_H-M_alt 'P 4/m m m'
_space_group_IT_number 123
_space_group_name_Hall '-P 4 2'
loop_
_atom_site_label
_atom_site_type_symbol
_atom_site_fract_x
_atom_site_fract_y
_atom_site_fract_z
Ca1 Ca 0.0000 0.0000 0.0000
Ni1 Ni 0.5000 0.5000 0.5000
Sb1 Sb 0.5000 0.5000 0.0000
Cl1 Cl 0.0000 0.5000 0.5000
# - ΔE to the lowest computed polymorph: 0 meV per atom
# - ΔE_f (raw): -0.631 eV/atom
# - Fermi-level density of states: 3.99 states/eV/f.u.